A plane-wave DFT calculation with PBE was carried out for ZnTcSn2 after structural relaxation.

* DFT formation energy: 0.192 eV/atom

a b c (Å): 3.2803 3.2803 9.4242
angles (deg): 79.98 79.98 60.00
With the nearest neighbours (Å) after each atom.
Atoms (fractional coordinates):
Zn 0.0000 0.0000 0.0000  2 Sn 2.64
Sn 0.0955 0.0955 0.7135  1 Zn 2.64, 3 Tc 2.73
Sn 0.9045 0.9045 0.2865  1 Zn 2.64, 3 Tc 2.73
Tc 0.5000 0.5000 0.5000  6 Sn 2.73